1.
Material: TbMgCd2Au4
Method: DFT, PBE
State: optimized geometry

Lattice parameters (Å, degrees): 4.8357 4.8357 23.9369 90.00 90.00 120.00
Space group R-3m (No. 166, hexagonal axes)
One atom of each set of equivalent atoms:
Tb 0.0000 0.0000 0.0000 [3 per cell]
Mg 0.0000 0.0000 0.5000 [3 per cell]
Cd 0.0000 0.0000 0.2501 [6 per cell]
Au 0.0000 0.0000 0.1280 [6 per cell]
Au 0.0000 0.0000 0.3829 [6 per cell]

Output
**Magnetization**: 0.000 μB/atom
**Energy relative to the elements**: -526 meV/atom

2.
Material: Li3Rh
Method: DFT, PBE
State: optimized geometry

Lattice parameters (Å, degrees): 2.7608 2.7608 28.3016 90.00 90.00 120.00
Space group R-3m (No. 166, hexagonal axes)
One atom of each set of equivalent atoms:
Li 0.0000 0.0000 0.0000 [3 per cell]
Li 0.0000 0.0000 0.2394 [6 per cell]
Rh 0.0000 0.0000 0.5000 [3 per cell]

Output
**Magnetization**: 0.063 μB/atom
**Energy relative to the elements**: -61 meV/atom

3.
Material: La2YGa
Method: DFT, PBE
State: optimized geometry

Lattice parameters (Å, degrees): 3.5677 3.5677 36.6396 90.00 90.00 120.00
Space group R-3m (No. 166, hexagonal axes)
One atom of each set of equivalent atoms:
La 0.0000 0.0000 0.0860 [6 per cell]
Y 0.0000 0.0000 0.5000 [3 per cell]
Ga 0.0000 0.0000 0.0000 [3 per cell]

Output
**Magnetization**: 0.000 μB/atom
**Energy relative to the elements**: 169 meV/atom

4.
Material: Tl2CrAu
Method: DFT, PBE
State: optimized geometry

Lattice parameters (Å, degrees): 6.304 10.064 3.383 90.00 121.24 90.00
Space group C2/m (No. 12)
One atom of each set of equivalent atoms:
Tl 0.250 0.250 0.000 [4 per cell]
Cr 0.000 0.000 0.500 [2 per cell]
Au 0.000 0.500 0.500 [2 per cell]

Output
**Magnetization**: 1.031 μB/atom
**Energy relative to the elements**: 427 meV/atom

5.
Material: LiAcNdS3
Method: DFT, PBE
State: optimized geometry

Lattice parameters (Å, degrees): 8.532 4.031 8.750 90.00 102.76 90.00
Space group P2_1/m (No. 11)
One atom of each set of equivalent atoms:
Li 0.088 0.250 0.088 [2 per cell]
Ac 0.182 0.250 0.723 [2 per cell]
Nd 0.340 0.750 0.337 [2 per cell]
S 0.101 0.250 0.365 [2 per cell]
S 0.200 0.750 0.002 [2 per cell]
S 0.426 0.750 0.675 [2 per cell]

Output
**Raw formation energy**: -1.87 eV/atom
**Magnetization**: 0.000 μB/atom

6.
Material: BeBiN2F
Method: DFT, PBE
State: optimized geometry

Lattice parameters (Å, degrees): 4.314 4.314 4.292 90.00 90.00 90.00
Space group P4/mmm (No. 123)
One atom of each set of equivalent atoms:
Be 0.000 0.000 0.000 [1 per cell]
Bi 0.500 0.500 0.500 [1 per cell]
N 0.000 0.500 0.500 [2 per cell]
F 0.500 0.500 0.000 [1 per cell]

Output
**Raw formation energy**: 1.20 eV/atom
**Magnetization**: 0.000 μB/atom

Which of these has the highest magnetization? Tl2CrAu

magnetization of number 5 (LiAcNdS3)? 0.000 μB/atom

What did the third record say?
Material: La2YGa
Method: DFT, PBE
State: optimized geometry

Lattice parameters (Å, degrees): 3.5677 3.5677 36.6396 90.00 90.00 120.00
Space group R-3m (No. 166, hexagonal axes)
One atom of each set of equivalent atoms:
La 0.0000 0.0000 0.0860 [6 per cell]
Y 0.0000 0.0000 0.5000 [3 per cell]
Ga 0.0000 0.0000 0.0000 [3 per cell]

Output
**Magnetization**: 0.000 μB/atom
**Energy relative to the elements**: 169 meV/atom